The following is a PBE-GGA calculation of a relaxed CdReOs2 crystal, from Alexandria.

```
CdReOs2
1.0
4.978 -0.007 0.000
1.972 4.571 0.000
-3.475 -2.282 2.738
Cd Os Re
1 2 1
direct
0.750 0.250 0.500 Cd
0.250 0.750 0.500 Os
0.000 0.000 0.000 Os
0.500 0.500 0.000 Re
```

## Properties
Size of the total moment   0.0 μB/f.u.
DFT total energy   -8.24 eV per atom